ScBe2Cd2 (PBE, optimized geometry); calculated volume = 16.36 A^3/atom; energy relative to the lowest polymorph listed for this composition = 137 meV per atom; calculated total energy = -0.213 Ry per atom
1.0
-6.3853 -2.7038 2.6538
3.7715 -5.0301 3.9496
0.1438 1.8971 2.2787
Be Cd Sc
4 4 2
Direct
0.1132 0.3868 0.0000
0.3868 0.8868 0.0000
0.8868 0.6132 0.0000
0.6132 0.1132 0.0000
0.8209 0.3209 0.5000
0.3209 0.1791 0.5000
0.1791 0.6791 0.5000
0.6791 0.8209 0.5000
0.5000 0.5000 0.0000
0.0000 0.0000 0.0000